(1)
Ac5GaS4 | the Alexandria database | PBE | relaxed; space-group type = I4/m (87); crystal system = tetragonal; ρ = 7.41 g/cm³
1.0
-4.920 4.920 3.087
4.920 -4.920 3.087
4.920 4.920 -3.087
Ac Ga S
5 1 4
Direct
0.000 0.000 0.000
0.197 0.602 0.798
0.398 0.197 0.595
0.602 0.803 0.405
0.803 0.398 0.202
0.500 0.500 0.000
0.102 0.302 0.404
0.302 0.898 0.199
0.698 0.102 0.801
0.898 0.698 0.596

(2)
Ac2Ga2S7 | the Alexandria database | PBE | relaxed; space-group type = C2/m (12); crystal system = monoclinic; ρ = 4.14 g/cm³
1.0
4.333 -6.292 0.000
4.333 6.292 0.000
-2.523 0.000 6.012
Ac Ga S
2 2 7
Direct
0.191 0.809 0.000
0.809 0.191 0.000
0.270 0.270 0.634
0.730 0.730 0.366
0.076 0.388 0.768
0.198 0.198 0.258
0.388 0.076 0.768
0.500 0.500 0.500
0.612 0.924 0.232
0.802 0.802 0.742
0.924 0.612 0.232

(3)
AcGaS2 | the Alexandria database | PBE | relaxed; space-group type = R-3m (166); crystal system = trigonal; ρ = 5.73 g/cm³
1.0
3.779 0.000 0.000
-1.890 3.273 0.000
0.000 0.000 25.354
Ac Ga S
3 3 6
Direct
0.000 0.000 0.000
0.333 0.667 0.667
0.667 0.333 0.333
0.000 0.000 0.500
0.333 0.667 0.167
0.667 0.333 0.833
0.000 0.000 0.114
0.000 0.000 0.886
0.333 0.667 0.552
0.333 0.667 0.781
0.667 0.333 0.219
0.667 0.333 0.448

(4)
Ac6GaS5 | the Alexandria database | PBE | relaxed; space-group type = C2/m (12); crystal system = monoclinic; ρ = 7.42 g/cm³
1.0
3.798 -6.565 0.000
3.798 6.565 0.000
-2.521 0.000 7.148
Ac Ga S
6 1 5
Direct
0.081 0.416 0.749
0.248 0.248 0.250
0.416 0.081 0.749
0.584 0.919 0.251
0.752 0.752 0.750
0.919 0.584 0.251
0.500 0.500 0.000
0.000 0.000 0.500
0.167 0.833 0.000
0.335 0.665 0.500
0.665 0.335 0.500
0.833 0.167 0.000

| no. | total moment (μB per atom) | E (eV per atom) |
| --- | --- | --- |
| 1 | 0.000 | -5.71 |
| 2 | 0.000 | -5.04 |
| 3 | 0.000 | -4.46 |
| 4 | 0.000 | -5.77 |